# 1
This record from Alexandria via LeMat-Bulk describes a relaxed structure of AlAs2W. The functional is PBE.

Energy above the lowest structure with this stoichiometry, eV/atom: 0.121
E_form, eV per atom: 0.186

Cell: 8.7793 3.1057 4.9383 Å, 90.00 95.33 90.00°
Space group C2/m (No. 12)
Inequivalent atoms, fractional coordinates:
1 Al 0.0000 0.0000 0.0000 x2
2 As 0.2235 0.0000 0.7284 x4
3 W 0.0000 0.5000 0.5000 x2

---

# 2
This record from Alexandria via LeMat-Bulk describes a relaxed structure of KLa2As2. The functional is PBE.

Energy above the lowest structure with this stoichiometry, eV/atom: 0.000
E_form, eV per atom: -0.982

Cell: 8.5617 8.5617 3.9765 Å, 90.00 90.00 90.00°
Space group P4/mbm (No. 127)
Inequivalent atoms, fractional coordinates:
1 K 0.0000 0.0000 0.0000 x2
2 La 0.1433 0.3567 0.5000 x4
3 As 0.1546 0.6546 0.0000 x4

---

# 3
This record from Alexandria via LeMat-Bulk describes a relaxed structure of LuCuAgRh. The functional is PBE.

E_form, eV per atom: -0.301

Cell: 6.5109 6.5109 6.5109 Å, 90.00 90.00 90.00°
Space group F-43m (No. 216)
Inequivalent atoms, fractional coordinates:
1 Lu 0.0000 0.0000 0.0000 x4
2 Cu 0.2500 0.2500 0.2500 x4
3 Ag 0.0000 0.0000 0.5000 x4
4 Rh 0.2500 0.2500 0.7500 x4

---

# 4
This record from Alexandria via LeMat-Bulk describes a relaxed structure of CaCdO2. The functional is PBE.

Formation energy (no corrections), kJ/mol of formula units: -762

Cell: 6.8929 4.8206 7.8868 Å, 90.00 90.00 90.00°
Space group Pnma (No. 62)
Inequivalent atoms, fractional coordinates:
1 Ca 0.0923 0.2500 0.1265 x4
2 Cd 0.0797 0.2500 0.6266 x4
3 O 0.0770 0.7500 0.6245 x4
4 O 0.0864 0.7500 0.1218 x4